a) 6
Lattice="-1.9464 2.0549 7.6470 1.9464 -2.0549 7.6470 1.9464 2.0549 -7.6470" Properties=species:S:1:pos:R:3 comment="Sm2GaCu3 PBE relaxed" magmom_total_mub_per_cell=0.00 volume_a3_per_atom=20.39 crystal_system=orthorhombic spacegroup=Imm2 pbc="T T T"
Sm 0.0000 0.0000 0.0000
Sm 0.0000 2.0549 3.9479
Ga 0.0000 0.0000 9.0350
Cu 1.9464 0.0000 2.6551
Cu 1.9464 0.0000 5.1102
Cu 0.0000 0.0000 6.5266


b) 12
Lattice="0.0000 4.3076 7.5389 3.7097 0.0000 7.5389 3.7097 4.3076 0.0000" Properties=species:S:1:pos:R:3 comment="Sm2GaCu3 PBE relaxed" magmom_total_mub_per_cell=0.00 volume_a3_per_atom=20.08 crystal_system=orthorhombic spacegroup=Fmmm pbc="T T T"
Sm 5.6347 4.3076 7.5389
Sm 1.8548 2.1538 3.7695
Sm 5.5645 6.4615 11.3084
Sm 1.7846 4.3076 7.5389
Ga 3.7097 4.3076 5.0427
Ga 3.7097 4.3076 10.0352
Cu 3.7097 4.3076 2.5235
Cu 3.7097 2.1644 6.2936
Cu 3.7097 2.1644 8.7843
Cu 3.7097 6.4509 6.2936
Cu 3.7097 6.4509 8.7843
Cu 3.7097 4.3076 12.5544


Last place for stability: a)


a) 10
Lattice="4.0459 0.0000 0.0000 0.0000 6.8003 0.0000 0.0000 0.0000 7.0965" Properties=species:S:1:pos:R:3 comment="SmGa3Cu PBE relaxed" magmom_total_mub_per_cell=0.00 volume_a3_per_atom=19.52 crystal_system=orthorhombic spacegroup=Pmmn pbc="T T T"
Sm 1.0115 1.7001 1.2317
Sm 3.0344 5.1002 5.8648
Ga 1.0115 0.4118 4.7240
Ga 1.0115 2.9884 4.7240
Ga 1.0115 5.1002 1.0086
Ga 3.0344 1.7001 6.0879
Ga 3.0344 3.8119 2.3725
Ga 3.0344 6.3886 2.3725
Cu 1.0115 5.1002 3.5030
Cu 3.0344 1.7001 3.5935


b) 5
Lattice="2.9620 -2.9671 0.0000 2.9620 2.9671 0.0000 -2.9524 0.0000 5.2746" Properties=species:S:1:pos:R:3 comment="SmGa3Cu PBE relaxed" magmom_total_mub_per_cell=0.00 volume_a3_per_atom=18.54 crystal_system=monoclinic spacegroup=Cm pbc="T T T"
Sm 0.0000 0.0000 0.0000
Ga 1.4904 1.4881 2.6444
Ga 0.0147 0.0000 4.2966
Ga 1.4904 -1.4881 2.6444
Cu 2.9655 0.0000 1.3840


c) 5
Lattice="-2.0760 2.0760 5.3524 2.0760 -2.0760 5.3524 2.0760 2.0760 -5.3524" Properties=species:S:1:pos:R:3 comment="SmGa3Cu PBE relaxed" magmom_total_mub_per_cell=0.00 volume_a3_per_atom=18.45 crystal_system=tetragonal spacegroup=I-4m2 pbc="T T T"
Sm 0.0000 0.0000 0.0000
Ga 0.0000 0.0000 4.1176
Ga 0.0000 0.0000 6.5871
Ga 0.0000 2.0760 2.6762
Cu 2.0760 0.0000 2.6762


Last place for stability: a)


a) 13
Lattice="-4.4350 4.4350 2.6531 4.4350 -4.4350 2.6531 4.4350 4.4350 -2.6531" Properties=species:S:1:pos:R:3 comment="SmGa8Cu4 PBE relaxed" magmom_total_mub_per_cell=0.00 volume_a3_per_atom=16.06 crystal_system=tetragonal spacegroup=I4/mmm pbc="T T T"
Sm 0.0000 0.0000 0.0000
Ga 3.0824 0.0000 0.0000
Ga 5.7877 0.0000 0.0000
Ga 4.4350 2.5181 0.0000
Ga 0.0000 3.0824 0.0000
Ga 2.5181 4.4350 0.0000
Ga 1.9169 0.0000 2.6531
Ga 0.0000 5.7877 0.0000
Ga 0.0000 1.9169 2.6531
Cu 2.2175 2.2175 -1.3265
Cu 2.2175 -2.2175 1.3265
Cu -2.2175 2.2175 1.3265
Cu 2.2175 2.2175 1.3265


b) 39
Lattice="9.0074 0.0000 0.0000 -4.5037 7.8006 0.0000 0.0000 0.0000 8.9062" Properties=species:S:1:pos:R:3 comment="SmGa8Cu4 PBE relaxed" magmom_total_mub_per_cell=0.00 volume_a3_per_atom=16.05 crystal_system=hexagonal spacegroup=P6/mmm pbc="T T T"
Sm 0.0000 0.0000 0.0000
Sm 0.0000 5.2004 4.4531
Sm 4.5037 2.6002 4.4531
Ga 0.0000 0.0000 3.0342
Ga 0.0000 0.0000 5.8720
Ga -1.3266 2.2977 4.4531
Ga -1.5614 2.7044 0.0000
Ga -2.2518 3.9003 2.4536
Ga -2.2518 3.9003 6.4526
Ga -2.9423 5.0962 0.0000
Ga -3.1771 5.5029 4.4531
Ga 2.6532 0.0000 4.4531
Ga 1.3266 2.2977 4.4531
Ga 0.0000 5.2004 1.3067
Ga 0.0000 5.2004 7.5994
Ga 3.1228 0.0000 0.0000
Ga 1.5614 2.7044 0.0000
Ga 4.5037 0.0000 2.4536
Ga 4.5037 0.0000 6.4526
Ga 2.2518 3.9003 2.4536
Ga 2.2518 3.9003 6.4526
Ga 5.8846 0.0000 0.0000
Ga 2.9423 5.0962 0.0000
Ga 4.5037 2.6002 1.3067
Ga 4.5037 2.6002 7.5994
Ga 6.3542 0.0000 4.4531
Ga 3.1771 5.5029 4.4531
Cu 0.0000 2.6105 2.1350
Cu 0.0000 2.6105 6.7712
Cu -2.2430 6.4954 2.1350
Cu -2.2430 6.4954 6.7712
Cu 2.2607 1.3052 2.1350
Cu 2.2607 1.3052 6.7712
Cu 2.2430 6.4954 2.1350
Cu 2.2430 6.4954 6.7712
Cu 6.7466 1.3052 2.1350
Cu 6.7466 1.3052 6.7712
Cu 4.5037 5.1901 2.1350
Cu 4.5037 5.1901 6.7712


Last place for stability: b)


a) 14
Lattice="7.8947 -2.1490 0.0000 7.8947 2.1490 0.0000 -5.7559 0.0000 7.6681" Properties=species:S:1:pos:R:3 comment="Sm3Ga8Cu3 PBE relaxed" magmom_total_mub_per_cell=0.00 volume_a3_per_atom=18.59 crystal_system=monoclinic spacegroup=C2/m pbc="T T T"
Sm 0.0000 0.0000 0.0000
Sm 3.0247 0.0000 2.4136
Sm 7.0088 0.0000 5.2546
Ga -2.6936 0.0000 6.6134
Ga -0.1018 0.0000 3.2260
Ga -0.0847 0.0000 7.3527
Ga 6.1528 0.0000 2.3225
Ga 3.8807 0.0000 5.3456
Ga 10.1182 0.0000 0.3155
Ga 10.1353 0.0000 4.4421
Ga 12.7272 0.0000 1.0548
Cu -2.8779 0.0000 3.8341
Cu 1.3867 0.0000 5.3798
Cu 8.6468 0.0000 2.2883


b) 14
Lattice="-2.1569 4.7162 6.3127 2.1569 -4.7162 6.3127 2.1569 4.7162 -6.3127" Properties=species:S:1:pos:R:3 comment="Sm3Ga8Cu3 PBE relaxed" magmom_total_mub_per_cell=0.00 volume_a3_per_atom=18.35 crystal_system=orthorhombic spacegroup=Immm pbc="T T T"
Sm 0.0000 0.0000 0.0000
Sm 0.0000 0.0000 3.8256
Sm 0.0000 0.0000 8.7999
Ga 2.1569 -1.2921 1.9609
Ga 2.1569 -1.9973 4.6608
Ga 2.1569 1.2921 1.9609
Ga 0.0000 2.7189 1.6519
Ga 2.1569 1.9973 4.6608
Ga 0.0000 3.4240 4.3518
Ga 0.0000 6.7134 1.6519
Ga 0.0000 6.0083 4.3518
Cu 2.1569 2.9336 0.0000
Cu 0.0000 4.7162 0.0000
Cu 0.0000 1.7826 6.3127


Last place for stability: a)


a) 32
Lattice="7.4561 0.0000 0.0000 0.0000 15.0205 0.0000 0.0000 0.0000 6.0180" Properties=species:S:1:pos:R:3 comment="Sm3Ga2Cu3 PBE relaxed" magmom_total_mub_per_cell=0.00 volume_a3_per_atom=21.06 crystal_system=orthorhombic spacegroup=Pnma pbc="T T T"
Sm 0.0643 1.6051 0.8668
Sm 0.0643 5.9051 0.8668
Sm 1.1138 3.7551 3.7169
Sm 2.6143 11.2654 0.7079
Sm 3.6638 9.1154 3.8759
Sm 3.6638 13.4153 3.8759
Sm 3.7923 1.6051 2.1422
Sm 3.7923 5.9051 2.1422
Sm 4.8418 3.7551 5.3101
Sm 6.3423 11.2654 2.3011
Sm 7.3918 9.1154 5.1512
Sm 7.3918 13.4153 5.1512
Ga 1.0517 9.0332 2.1302
Ga 1.0517 13.4975 2.1302
Ga 2.6764 1.5230 5.1392
Ga 2.6764 5.9873 5.1392
Ga 4.7798 9.0332 0.8788
Ga 4.7798 13.4975 0.8788
Ga 6.4044 1.5230 3.8878
Ga 6.4044 5.9873 3.8878
Cu 1.2122 0.5350 3.4859
Cu 1.2122 6.9752 3.4859
Cu 1.5856 11.2654 3.6633
Cu 2.1424 3.7551 0.6543
Cu 2.5158 8.0452 0.4768
Cu 2.5158 14.4855 0.4768
Cu 4.9403 0.5350 5.5412
Cu 4.9403 6.9752 5.5412
Cu 5.3137 11.2654 5.3637
Cu 5.8705 3.7551 2.3547
Cu 6.2439 8.0452 2.5322
Cu 6.2439 14.4855 2.5322


b) 16
Lattice="2.1904 -5.2529 0.0000 2.1904 5.2529 0.0000 0.0000 0.0000 14.5483" Properties=species:S:1:pos:R:3 comment="Sm3Ga2Cu3 PBE relaxed" magmom_total_mub_per_cell=0.00 volume_a3_per_atom=20.92 crystal_system=orthorhombic spacegroup=Cmcm pbc="T T T"
Sm 2.1904 4.2024 8.7558
Sm 2.1904 4.2024 13.0666
Sm 2.1904 1.0759 10.9112
Sm 2.1904 -1.0759 3.6371
Sm 2.1904 -4.2024 1.4817
Sm 2.1904 -4.2024 5.7925
Ga 2.1904 3.1818 1.4549
Ga 2.1904 3.1818 5.8192
Ga 2.1904 -3.1818 8.7290
Ga 2.1904 -3.1818 13.0933
Cu 2.1904 1.9429 3.6371
Cu 2.1904 1.1527 7.8702
Cu 2.1904 1.1527 13.9522
Cu 2.1904 -1.1527 0.5961
Cu 2.1904 -1.1527 6.6780
Cu 2.1904 -1.9429 10.9112


Last place for stability: a)


a) 10
Lattice="4.1587 0.0000 0.0000 0.0000 4.1587 0.0000 0.0000 0.0000 10.1727" Properties=species:S:1:pos:R:3 comment="Sm2Ga3Cu5 PBE relaxed" magmom_total_mub_per_cell=0.00 volume_a3_per_atom=17.59 crystal_system=tetragonal spacegroup=P-4m2 pbc="T T T"
Sm 0.0000 2.0794 2.4342
Sm 2.0794 0.0000 7.7384
Ga 0.0000 2.0794 6.5541
Ga 2.0794 0.0000 3.6185
Ga 2.0794 2.0794 5.0863
Cu 0.0000 0.0000 0.0000
Cu 0.0000 0.0000 5.0863
Cu 0.0000 2.0794 8.9348
Cu 2.0794 0.0000 1.2379
Cu 2.0794 2.0794 0.0000


b) 20
Lattice="5.9262 -5.7936 0.0000 5.9262 5.7936 0.0000 -2.8705 0.0000 5.0939" Properties=species:S:1:pos:R:3 comment="Sm2Ga3Cu5 PBE relaxed" magmom_total_mub_per_cell=0.00 volume_a3_per_atom=17.49 crystal_system=monoclinic spacegroup=C2/c pbc="T T T"
Sm 2.1283 1.4575 1.2069
Sm 0.6930 -1.4575 3.7539
Sm 8.2889 1.4575 1.3400
Sm 6.8537 -1.4575 3.8870
Ga 3.4007 4.2594 1.9334
Ga 7.0165 4.2594 0.6135
Ga 5.2086 -0.0023 1.2735
Ga 3.7733 0.0023 3.8204
Ga 1.9654 -4.2594 4.4804
Ga 5.5813 -4.2594 3.1605
Cu 5.2086 5.7869 1.2735
Cu 1.7519 1.3705 4.3587
Cu 5.2086 2.7131 1.2735
Cu 3.7733 2.7116 3.8204
Cu 3.1871 -1.3705 1.8117
Cu 5.7948 1.3705 3.2822
Cu 5.2086 -2.7116 1.2735
Cu 3.7733 -2.7131 3.8204
Cu 7.2301 -1.3705 0.7352
Cu 3.7733 -5.7869 3.8204


Last place for stability: a)


a) 5
Lattice="4.8869 0.0000 0.0000 0.0000 4.8869 0.0000 0.0000 0.0000 4.8869" Properties=species:S:1:pos:R:3 comment="GaCu3Sn PBE relaxed" magmom_total_mub_per_cell=0.00 volume_a3_per_atom=23.34 crystal_system=cubic spacegroup=Pm-3m pbc="T T T"
Ga 0.0000 0.0000 0.0000
Cu 0.0000 2.4434 2.4434
Cu 2.4434 0.0000 2.4434
Cu 2.4434 2.4434 0.0000
Sn 2.4434 2.4434 2.4434


b) 5
Lattice="4.5631 0.0000 0.0000 0.0000 4.5631 0.0000 0.0000 0.0000 4.5631" Properties=species:S:1:pos:R:3 comment="GaCu3Sn PBE relaxed" magmom_total_mub_per_cell=0.00 volume_a3_per_atom=19.00 crystal_system=cubic spacegroup=Pm-3m pbc="T T T"
Ga 0.0000 0.0000 0.0000
Cu 0.0000 0.0000 2.2815
Cu 0.0000 2.2815 0.0000
Cu 2.2815 0.0000 0.0000
Sn 2.2815 2.2815 2.2815


Last place for stability: a)


a) 8
Lattice="-2.9706 2.9706 5.5162 2.9706 -2.9706 5.5162 2.9706 2.9706 -5.5162" Properties=species:S:1:pos:R:3 comment="Sr2Ga5Cu PBE relaxed" magmom_total_mub_per_cell=0.00 volume_a3_per_atom=24.34 crystal_system=tetragonal spacegroup=I4mm pbc="T T T"
Sr 2.9706 0.0000 0.0000
Sr 0.0000 2.9706 0.0000
Ga 1.5821 1.5821 -2.8763
Ga 1.3885 -1.3885 2.6399
Ga 0.0000 0.0000 4.4988
Ga -1.3885 1.3885 2.6399
Ga 1.3885 1.3885 2.6399
Cu 0.0000 0.0000 7.0132


b) 16
Lattice="2.2478 -8.5858 0.0000 2.2478 8.5858 0.0000 0.0000 0.0000 9.2351" Properties=species:S:1:pos:R:3 comment="Sr2Ga5Cu PBE relaxed" magmom_total_mub_per_cell=0.00 volume_a3_per_atom=22.28 crystal_system=orthorhombic spacegroup=Cmcm pbc="T T T"
Sr 0.0000 0.0000 0.0000
Sr 0.0000 0.0000 4.6176
Sr 2.2478 5.0964 6.9264
Sr 2.2478 -5.0964 2.3088
Ga 2.2478 5.3536 0.9786
Ga 2.2478 5.3536 3.6390
Ga 2.2478 2.4696 0.2093
Ga 2.2478 2.4696 4.4082
Ga 2.2478 1.4274 6.9264
Ga 2.2478 -1.4274 2.3088
Ga 2.2478 -2.4696 4.8269
Ga 2.2478 -2.4696 9.0258
Ga 2.2478 -5.3536 5.5962
Ga 2.2478 -5.3536 8.2565
Cu 2.2478 1.0644 2.3088
Cu 2.2478 -1.0644 6.9264


Last place for stability: a)